An optimized crystal structure of Mn2InSiTe, computed with GGA-PBE.

```
Mn2InSiTe
1.0
4.897 0.000 0.000
0.000 4.869 0.000
0.000 0.000 4.897
Si Mn Te In
1 2 1 1
direct
0.000 0.500 0.000
0.000 0.000 0.500
0.500 0.000 0.000
0.500 0.500 0.500
0.000 0.000 0.000
```

Properties
energy relative to the elements, uncorrected = 1.79 eV per atom
space group = No. 123

***

An optimized crystal structure of CrGaS3, computed with GGA-PBE.

```
CrGaS3
1.0
-4.451 0.437 -0.974
0.818 -1.285 -4.316
-0.686 -4.371 1.171
Cr S Ga
1 3 1
direct
0.000 0.000 0.000
0.000 0.000 0.500
0.000 0.500 0.000
0.500 0.000 0.000
0.500 0.500 0.500
```

Properties
polymorph energy (0 for the lowest one) = 648.8 meV/atom
energy relative to the elements, uncorrected = 0.01 eV per atom
space group = No. 221

***

An optimized crystal structure of BiSb2IF, computed with GGA-PBE.

```
BiSb2IF
1.0
5.958 0.000 0.000
0.000 5.958 0.000
0.000 0.000 6.051
Sb Bi F I
2 1 1 1
direct
0.500 0.000 0.000
0.000 0.500 0.000
0.000 0.000 0.000
0.500 0.500 0.500
0.000 0.000 0.500
```

Properties
polymorph energy (0 for the lowest one) = 545.4 meV/atom
energy relative to the elements, uncorrected = 0.49 eV per atom
space group = No. 123

***

An optimized crystal structure of CsAg3I4, computed with GGA-PBE.

```
CsAg3I4
1.0
-4.758 -5.464 4.068
-2.694 -2.973 -7.143
7.614 -6.693 -0.086
I Ag Cs
8 6 2
direct
0.676 0.630 0.797
0.019 0.852 0.500
0.519 0.148 0.000
0.176 0.370 0.703
0.150 0.778 0.000
0.176 0.370 0.297
0.650 0.222 0.500
0.676 0.630 0.203
0.016 0.675 0.749
0.516 0.325 0.751
0.996 0.204 0.500
0.516 0.325 0.249
0.496 0.796 0.000
0.016 0.675 0.251
0.964 0.219 0.000
0.464 0.781 0.500
```

Properties
polymorph energy (0 for the lowest one) = 0.0 meV/atom
energy relative to the elements, uncorrected = -0.56 eV per atom
space group = No. 31

***

An optimized crystal structure of Ca2PuAs3Pt4, computed with GGA-PBE.

```
Ca2PuAs3Pt4
1.0
-1.947 3.759 0.419
-3.179 -1.882 2.109
5.556 1.767 9.954
Ca As Pt Pu
2 3 4 1
direct
0.000 0.500 0.778
0.500 0.000 0.222
0.000 0.000 0.500
0.000 0.500 0.125
0.500 0.000 0.875
0.500 0.500 0.000
0.000 0.000 0.000
0.500 0.000 0.665
0.000 0.500 0.335
0.500 0.500 0.500
```

Properties
E_form = -0.756 eV per atom
space group = No. 115

***

An optimized crystal structure of CePmIn2, computed with GGA-PBE.

```
CePmIn2
1.0
4.545 0.000 0.000
0.000 4.982 0.000
0.000 0.000 4.982
In Pm Ce
2 1 1
direct
0.000 0.500 0.000
0.000 0.000 0.500
0.500 0.500 0.500
0.500 0.000 0.000
```

Properties
E_form = -0.400 eV per atom
space group = No. 123

***

Values for spin magnetization, μB/f.u., ordered as above
0.20 1.53 1.78 0.00 5.42 1.30